This record from Alexandria describes a relaxed Cr2HgH2 crystal. The functional is PBE.

The crystal system is tetragonal. As for the energy above the most stable polymorph in this dataset: 84.4 meV/atom. The density of states at the Fermi level is 0.85 states/eV/atom. The magnetization is 0.4 μB per formula unit. The calculated total energy comes out at -4.889 eV/atom. The calculation puts the calculated density at 9.5 g cm⁻³.

The space group is I4/mmm (No. 139) and the conventional cell measures 3.405, 3.405 and 9.260 Å, with angles of 90.00, 90.00 and 90.00 degrees. Symmetry generates all atoms from Cr at (0.000, 0.500, 0.250), Hg at (0.000, 0.000, 0.000) and H at (0.000, 0.000, 0.330).

This record from Alexandria describes a relaxed Cr2HgH2 crystal. The functional is PBE.

The crystal system is tetragonal. As for the energy above the most stable polymorph in this dataset: 0.0 meV/atom. The density of states at the Fermi level is 0.71 states/eV/atom. The magnetization is 0.0 μB per formula unit. The calculated total energy comes out at -4.973 eV/atom. The calculation puts the calculated density at 10.2 g cm⁻³.

The space group is I4/mmm (No. 139) and the conventional cell measures 3.102, 3.102 and 10.399 Å, with angles of 90.00, 90.00 and 90.00 degrees. Symmetry generates all atoms from Cr at (0.000, 0.000, 0.178), Hg at (0.000, 0.000, 0.500) and H at (0.000, 0.500, 0.250).

This record from Alexandria describes a relaxed Cr2HgH crystal. The functional is PBE.

The crystal system is cubic. As for the energy above the most stable polymorph in this dataset: 386.2 meV/atom. The density of states at the Fermi level is 0.90 states/eV/atom. The magnetization is 7.8 μB per formula unit. The calculated total energy comes out at -4.696 eV/atom. The calculation puts the calculated density at 8.0 g cm⁻³.

The space group is Fm-3m (No. 225) and the conventional cell measures 6.338, 6.338 and 6.338 Å, with angles of 90.00, 90.00 and 90.00 degrees. Symmetry generates all atoms from Cr at (0.250, 0.250, 0.250), Hg at (0.000, 0.000, 0.000) and H at (0.000, 0.000, 0.500).

This record from Alexandria describes a relaxed CrHgMo2H crystal. The functional is PBE.

The crystal system is tetragonal. The density of states at the Fermi level is 0.74 states/eV/atom. The magnetization is 0.0 μB per formula unit. The calculated total energy comes out at -6.422 eV/atom. The calculation puts the calculated density at 11.2 g cm⁻³.

The space group is P4/mmm (No. 123) and the conventional cell measures 3.941, 3.941 and 4.247 Å, with angles of 90.00, 90.00 and 90.00 degrees. Symmetry generates all atoms from Cr at (0.000, 0.000, 0.000), Hg at (0.500, 0.500, 0.000), Mo at (0.000, 0.500, 0.500) and H at (0.500, 0.500, 0.500).